# 1
# BeCd2Mo, optimized geometry, DFT PBE
data_BeCd2Mo
_chemical_formula_sum 'Be4 Cd8 Mo4'
_space_group_name_H-M_alt 'F -4 3 m'
_space_group_IT_number 216
_space_group_name_Hall 'F -4 2 3'
_cell_length_a 6.4008
_cell_length_b 6.4008
_cell_length_c 6.4008
_cell_angle_alpha 90.00
_cell_angle_beta 90.00
_cell_angle_gamma 90.00
loop_
_atom_site_label
_atom_site_type_symbol
_atom_site_fract_x
_atom_site_fract_y
_atom_site_fract_z
_atom_site_occupancy
Be1 Be 0.0000 0.0000 0.0000 1
Cd1 Cd 0.0000 0.0000 0.5000 1
Cd2 Cd 0.2500 0.2500 0.7500 1
Mo1 Mo 0.2500 0.2500 0.2500 1
# - Spin magnetization: 1.77 μB per formula unit

# 2
# BeCdMo, optimized geometry, DFT PBE
data_BeCdMo
_chemical_formula_sum 'Be4 Cd4 Mo4'
_space_group_name_H-M_alt 'F -4 3 m'
_space_group_IT_number 216
_space_group_name_Hall 'F -4 2 3'
_cell_length_a 5.9992
_cell_length_b 5.9992
_cell_length_c 5.9992
_cell_angle_alpha 90.00
_cell_angle_beta 90.00
_cell_angle_gamma 90.00
loop_
_atom_site_label
_atom_site_type_symbol
_atom_site_fract_x
_atom_site_fract_y
_atom_site_fract_z
_atom_site_occupancy
Be1 Be 0.0000 0.0000 0.0000 1
Cd1 Cd 0.2500 0.2500 0.2500 1
Mo1 Mo 0.0000 0.0000 0.5000 1
# - Spin magnetization: 1.93 μB per formula unit

# 3
The following is a DFT calculation (PBE) of a relaxed NaBeCd crystal.

Structure (CIF):
```
data_NaBeCd
_chemical_formula_sum 'Na4 Be4 Cd4'
_space_group_name_H-M_alt 'F -4 3 m'
_space_group_IT_number 216
_space_group_name_Hall 'F -4 2 3'
_cell_length_a 6.5186
_cell_length_b 6.5186
_cell_length_c 6.5186
_cell_angle_alpha 90.00
_cell_angle_beta 90.00
_cell_angle_gamma 90.00
loop_
_atom_site_label
_atom_site_type_symbol
_atom_site_fract_x
_atom_site_fract_y
_atom_site_fract_z
_atom_site_occupancy
Na1 Na 0.0000 0.0000 0.0000 1
Be1 Be 0.2500 0.2500 0.7500 1
Cd1 Cd 0.2500 0.2500 0.2500 1
```

# 4
The following is a DFT calculation (PBE) of a relaxed Na2Be2Cd3 crystal.

Structure (CIF):
```
data_Na2Be2Cd3
_chemical_formula_sum 'Na6 Be6 Cd9'
_space_group_name_H-M_alt 'R 3 m'
_space_group_IT_number 160
_space_group_name_Hall 'R 3 -2"'
_cell_length_a 4.5043
_cell_length_b 4.5043
_cell_length_c 22.4203
_cell_angle_alpha 90.00
_cell_angle_beta 90.00
_cell_angle_gamma 120.00
loop_
_atom_site_label
_atom_site_type_symbol
_atom_site_fract_x
_atom_site_fract_y
_atom_site_fract_z
_atom_site_occupancy
Na1 Na 0.0000 0.0000 0.0000 1
Na2 Na 0.0000 0.0000 0.3853 1
Be1 Be 0.0000 0.0000 0.1384 1
Be2 Be 0.0000 0.0000 0.6275 1
Cd1 Cd 0.0000 0.0000 0.2533 1
Cd2 Cd 0.0000 0.0000 0.5165 1
Cd3 Cd 0.0000 0.0000 0.7822 1
```

# 5
# BeNbCd2, optimized geometry, DFT PBE
data_BeNbCd2
_chemical_formula_sum 'Be4 Nb4 Cd8'
_space_group_name_H-M_alt 'F -4 3 m'
_space_group_IT_number 216
_space_group_name_Hall 'F -4 2 3'
_cell_length_a 6.5069
_cell_length_b 6.5069
_cell_length_c 6.5069
_cell_angle_alpha 90.00
_cell_angle_beta 90.00
_cell_angle_gamma 90.00
loop_
_atom_site_label
_atom_site_type_symbol
_atom_site_fract_x
_atom_site_fract_y
_atom_site_fract_z
_atom_site_occupancy
Be1 Be 0.0000 0.0000 0.0000 1
Nb1 Nb 0.2500 0.2500 0.2500 1
Cd1 Cd 0.0000 0.0000 0.5000 1
Cd2 Cd 0.2500 0.2500 0.7500 1
# - Spin magnetization: 1.13 μB per formula unit

# 6
# BeNbCd, optimized geometry, DFT PBE
data_BeNbCd
_chemical_formula_sum 'Be4 Nb4 Cd4'
_space_group_name_H-M_alt 'F -4 3 m'
_space_group_IT_number 216
_space_group_name_Hall 'F -4 2 3'
_cell_length_a 6.0776
_cell_length_b 6.0776
_cell_length_c 6.0776
_cell_angle_alpha 90.00
_cell_angle_beta 90.00
_cell_angle_gamma 90.00
loop_
_atom_site_label
_atom_site_type_symbol
_atom_site_fract_x
_atom_site_fract_y
_atom_site_fract_z
_atom_site_occupancy
Be1 Be 0.0000 0.0000 0.0000 1
Nb1 Nb 0.0000 0.0000 0.5000 1
Cd1 Cd 0.2500 0.2500 0.2500 1
# - Spin magnetization: 0.04 μB per formula unit

# 7
# BeNbCd, optimized geometry, DFT PBE
data_BeNbCd
_chemical_formula_sum 'Be4 Nb4 Cd4'
_space_group_name_H-M_alt 'F -4 3 m'
_space_group_IT_number 216
_space_group_name_Hall 'F -4 2 3'
_cell_length_a 6.1740
_cell_length_b 6.1740
_cell_length_c 6.1740
_cell_angle_alpha 90.00
_cell_angle_beta 90.00
_cell_angle_gamma 90.00
loop_
_atom_site_label
_atom_site_type_symbol
_atom_site_fract_x
_atom_site_fract_y
_atom_site_fract_z
_atom_site_occupancy
Be1 Be 0.0000 0.0000 0.0000 1
Nb1 Nb 0.2500 0.2500 0.2500 1
Cd1 Cd 0.0000 0.0000 0.5000 1
# - Spin magnetization: 0.00 μB per formula unit

# 8
# Be2NbCd, optimized geometry, DFT PBE
data_Be2NbCd
_chemical_formula_sum 'Be8 Nb4 Cd4'
_space_group_name_H-M_alt 'F -4 3 m'
_space_group_IT_number 216
_space_group_name_Hall 'F -4 2 3'
_cell_length_a 6.1836
_cell_length_b 6.1836
_cell_length_c 6.1836
_cell_angle_alpha 90.00
_cell_angle_beta 90.00
_cell_angle_gamma 90.00
loop_
_atom_site_label
_atom_site_type_symbol
_atom_site_fract_x
_atom_site_fract_y
_atom_site_fract_z
_atom_site_occupancy
Be1 Be 0.0000 0.0000 0.0000 1
Be2 Be 0.2500 0.2500 0.2500 1
Nb1 Nb 0.0000 0.0000 0.5000 1
Cd1 Cd 0.2500 0.2500 0.7500 1
# - Spin magnetization: 0.69 μB per formula unit

no.,calculated volume (Å³/f.u.),energy (eV/atom)
1,65.6,-3.439
2,54.0,-3.858
3,69.2,-1.099
4,131.3,-1.487
5,68.9,-3.392
6,56.1,-3.897
7,58.8,-3.805
8,59.1,-4.000